1.
# Ca2TaAg, relaxed, DFT PBE
# formation enthalpy at 0 K: 0.869 eV per atom
# electronic total energy: -60.93 eV for the cell shown
# distance to the lowest polymorph of the same formula: 525 meV per atom
data_Ca2TaAg
_chemical_formula_sum 'Ca8 Ta4 Ag4'
_symmetry_space_group_name_H-M 'I -4 2 d'
_symmetry_Int_Tables_number 122
_symmetry_space_group_name_Hall 'I -4 2bw'
_cell_length_a 8.2901
_cell_length_b 8.2901
_cell_length_c 6.1642
_cell_angle_alpha 90.00
_cell_angle_beta 90.00
_cell_angle_gamma 90.00
loop_
_atom_site_label
_atom_site_type_symbol
_atom_site_fract_x
_atom_site_fract_y
_atom_site_fract_z
Ca1 Ca 0.2195 0.2500 0.1250
Ta1 Ta 0.0000 0.0000 0.5000
Ag1 Ag 0.0000 0.0000 0.0000


2.
# Mn2AlFeI, relaxed, DFT PBE
# energy relative to the elements, uncorrected: 0.747 eV/atom
# electronic total energy: -28.36 eV for the cell shown
data_Mn2AlFeI
_chemical_formula_sum 'Mn2 Al1 Fe1 I1'
_symmetry_space_group_name_H-M 'P 4/m m m'
_symmetry_Int_Tables_number 123
_symmetry_space_group_name_Hall '-P 4 2'
_cell_length_a 4.6273
_cell_length_b 4.6273
_cell_length_c 4.6538
_cell_angle_alpha 90.00
_cell_angle_beta 90.00
_cell_angle_gamma 90.00
loop_
_atom_site_label
_atom_site_type_symbol
_atom_site_fract_x
_atom_site_fract_y
_atom_site_fract_z
Mn1 Mn 0.0000 0.5000 0.0000
Al1 Al 0.0000 0.0000 0.5000
Fe1 Fe 0.0000 0.0000 0.0000
I1 I 0.5000 0.5000 0.5000


3.
# CaMn2Au, relaxed, DFT PBE
# formation enthalpy at 0 K: 0.128 eV per atom
# electronic total energy: -23.11 eV for the cell shown
data_CaMn2Au
_chemical_formula_sum 'Ca1 Mn2 Au1'
_symmetry_space_group_name_H-M 'P 4 m m'
_symmetry_Int_Tables_number 99
_symmetry_space_group_name_Hall 'P 4 -2'
_cell_length_a 3.4574
_cell_length_b 3.4574
_cell_length_c 6.6891
_cell_angle_alpha 90.00
_cell_angle_beta 90.00
_cell_angle_gamma 90.00
loop_
_atom_site_label
_atom_site_type_symbol
_atom_site_fract_x
_atom_site_fract_y
_atom_site_fract_z
Ca1 Ca 0.0000 0.0000 0.0000
Mn1 Mn 0.0000 0.0000 0.5047
Mn2 Mn 0.5000 0.5000 0.3061
Au1 Au 0.5000 0.5000 0.7157


4.
# Cs3Tb2NdSe6, relaxed, DFT PBE
# energy relative to the elements, uncorrected: -1.729 eV/atom
# electronic total energy: -116.49 eV for the cell shown
data_Cs3Tb2NdSe6
_chemical_formula_sum 'Cs6 Tb4 Nd2 Se12'
_symmetry_space_group_name_H-M 'C 1 2/m 1'
_symmetry_Int_Tables_number 12
_symmetry_space_group_name_Hall '-C 2y'
_cell_length_a 7.4907
_cell_length_b 12.9730
_cell_length_c 8.7553
_cell_angle_alpha 90.00
_cell_angle_beta 106.58
_cell_angle_gamma 90.00
loop_
_atom_site_label
_atom_site_type_symbol
_atom_site_fract_x
_atom_site_fract_y
_atom_site_fract_z
Cs1 Cs 0.0000 0.0000 0.0000
Cs2 Cs 0.0000 0.3348 0.0000
Tb1 Tb 0.0000 0.1668 0.5000
Nd1 Nd 0.0000 0.5000 0.5000
Se1 Se 0.2221 0.0000 0.6871
Se2 Se 0.2327 0.3299 0.6877